# 1
{
  "formula": "MnAl2",
  "functional": "GGA-PBE",
  "state": "relaxed",
  "lattice_angstrom": [[-0.684, -2.406, 0.580], [5.571, -1.703, -0.492], [0.982, 1.308, 6.588]],
  "species": ["Mn", "Mn", "Al", "Al", "Al", "Al"],
  "frac_coords": [[0.000, 0.000, 0.000], [0.500, 0.500, 0.500], [0.000, 0.267, 0.735], [0.000, 0.733, 0.265], [0.500, 0.767, 0.765], [0.500, 0.233, 0.235]],
  "e_form_ev_per_atom": 0.24,
  "sg": "No. 58",
  "dft_energy_ev_per_atom": -5.3133
}

=====

# 2
{
  "formula": "Mn2Al",
  "functional": "GGA-PBE",
  "state": "relaxed",
  "lattice_angstrom": [[-5.238, 1.350, 2.274], [-2.522, -4.072, -3.390], [0.798, -4.003, 4.215]],
  "species": ["Mn", "Mn", "Mn", "Mn", "Mn", "Mn", "Mn", "Mn", "Al", "Al", "Al", "Al"],
  "frac_coords": [[0.645, 0.645, 0.355], [0.355, 0.355, 0.645], [0.145, 0.855, 0.645], [0.855, 0.145, 0.355], [0.355, 0.145, 0.145], [0.645, 0.855, 0.855], [0.855, 0.355, 0.855], [0.145, 0.645, 0.145], [0.000, 0.000, 0.000], [0.500, 0.500, 0.000], [0.500, 0.000, 0.500], [0.000, 0.500, 0.500]],
  "e_form_ev_per_atom": 0.72,
  "sg": "No. 205",
  "dft_energy_ev_per_atom": -6.6404
}

=====

# 3
{
  "formula": "Mn7Al6",
  "functional": "GGA-PBE",
  "state": "relaxed",
  "lattice_angstrom": [[8.914, 0.001, 0.001], [7.645, 4.584, 0.001], [7.645, 2.117, 4.066]],
  "species": ["Mn", "Mn", "Mn", "Mn", "Mn", "Mn", "Mn", "Al", "Al", "Al", "Al", "Al", "Al"],
  "frac_coords": [[0.918, 0.406, 0.406], [0.406, 0.406, 0.918], [0.406, 0.918, 0.406], [0.082, 0.594, 0.594], [0.594, 0.082, 0.594], [0.594, 0.594, 0.082], [0.500, 0.500, 0.500], [0.951, 0.951, 0.951], [0.049, 0.049, 0.049], [0.849, 0.849, 0.849], [0.151, 0.151, 0.151], [0.665, 0.665, 0.665], [0.335, 0.335, 0.335]],
  "e_form_ev_per_atom": -0.13,
  "sg": "No. 166",
  "dft_energy_ev_per_atom": -6.7919
}

=====

# 4
{
  "formula": "Mn4Al",
  "functional": "GGA-PBE",
  "state": "relaxed",
  "lattice_angstrom": [[-3.257, 0.920, -3.015], [2.475, -1.939, -3.266], [-1.952, -3.993, 0.891]],
  "species": ["Mn", "Mn", "Mn", "Mn", "Al"],
  "frac_coords": [[0.000, 0.000, 0.000], [0.500, 0.000, 0.500], [0.000, 0.500, 0.500], [0.500, 0.500, 0.000], [0.500, 0.500, 0.500]],
  "e_form_ev_per_atom": 1.15,
  "relative_energy_mev_per_atom": 1139,
  "sg": "No. 221",
  "dft_energy_ev_per_atom": -6.9334
}

=====

no.,magnetization (μB per formula unit)
1,0.2
2,6.5
3,3.1
4,14.3